First-principles (GGA-PBE) data for crystalline Ba2LiTa at its relaxed geometry, as listed in Alexandria.

Unit cell a=12.8308 b=3.4378 c=6.2558 alpha=90.00 beta=106.03 gamma=90.00
Last column: nearest neighbours and their distance in Å.
Element x y z (fractional)
1 Ba 0.0000 0.0000 0.0000  2 Ba 3.44, 3 Ta 3.54-3.55, 4 Li 3.54-3.83
2 Ba 0.2020 0.0000 0.6124  1 Li 3.36, 2 Ba 3.44, 4 Ta 3.60-3.65
3 Ba 0.5000 0.5000 0.0000  2 Ba 3.44, 3 Ta 3.54-3.55, 4 Li 3.54-3.83
4 Ba 0.7020 0.5000 0.6124  1 Li 3.36, 2 Ba 3.44, 4 Ta 3.60-3.65
5 Li 0.4251 0.0000 0.4299  2 Ta 2.98
6 Li 0.9251 0.5000 0.4299  2 Ta 2.98
7 Ta 0.2522 0.5000 0.1455  2 Li 2.98
8 Ta 0.7522 0.0000 0.1455  2 Li 2.98

Properties
The calculation puts the total DFT energy (no corrections) at -3.565 eV/atom. The space-group type is Cm (8). As for the crystal system: monoclinic. The value obtained for the energy above the lowest structure with this stoichiometry is 0.22 eV/f.u. The energy of formation from the pure elements comes out at 19.32 kcal/mol of atoms.